(1)
A relaxed Sr3ZrB2O8 crystal. Source: Alexandria, functional PBE.

Cell and atoms, written as POSCAR:
```
Sr3ZrB2O8
1.0
5.384 0.000 0.000
-2.692 4.663 0.000
0.000 0.000 6.936
Sr Zr B O
3 1 2 8
direct
0.333 0.667 0.697
0.667 0.333 0.303
0.000 0.000 0.000
0.000 0.000 0.500
0.333 0.667 0.233
0.667 0.333 0.767
0.333 0.667 0.031
0.667 0.333 0.969
0.181 0.819 0.320
0.819 0.181 0.680
0.181 0.363 0.320
0.819 0.637 0.680
0.637 0.819 0.320
0.363 0.181 0.680
```

Summary:
D(E_F) = 0.00 states/eV per atom
ΔE_f (raw) = -2.849 eV per atom
M_tot = 0.0 μB/f.u.
SG = P-3m1, No. 164


(2)
A relaxed LiCa2PI crystal. Source: Alexandria, functional PBE.

Cell and atoms, written as POSCAR:
```
LiCa2PI
1.0
5.653 0.000 0.000
0.000 4.188 0.000
0.000 0.000 5.653
I P Ca Li
1 1 2 1
direct
0.500 0.500 0.500
0.000 0.500 0.000
0.000 0.000 0.500
0.500 0.000 0.000
0.000 0.000 0.000
```

Summary:
D(E_F) = 0.48 states/eV per atom
ΔE_f (raw) = -0.521 eV per atom
M_tot = 0.0 μB/f.u.
SG = P4/mmm, No. 123